Entry 1:
# SmPHPt6

A relaxed SmPHPt6 crystal (PBE-GGA, Alexandria via LeMat-Bulk).

Output
N(E_F) in states/eV/f.u.: 2.6
Uncorrected energy in eV/atom: -5.96
Calculated volume in Å³ per atom: 17.34

```
data_SmPHPt6
_chemical_formula_sum 'Sm4 P4 H4 Pt24'
_cell_length_a 7.098
_cell_length_b 7.937
_cell_length_c 11.082
_cell_angle_alpha 90.00
_cell_angle_beta 90.00
_cell_angle_gamma 90.00
_space_group_name_H-M_alt 'I m m a'
_space_group_IT_number 74
_space_group_name_Hall '-I 2b 2'
loop_
_atom_site_label
_atom_site_type_symbol
_atom_site_fract_x
_atom_site_fract_y
_atom_site_fract_z
Sm1 Sm 0.000 0.250 0.049
P1 P 0.000 0.000 0.500
H1 H 0.250 0.250 0.750
Pt1 Pt 0.000 0.250 0.389
Pt2 Pt 0.000 0.250 0.784
Pt3 Pt 0.247 0.024 0.630
```

***

Entry 2:
# Pu3CoGe2

A relaxed Pu3CoGe2 crystal (PBE-GGA, Alexandria via LeMat-Bulk).

Output
Polymorph energy (0 for the lowest one) in eV/atom: 0.0000
N(E_F) in states/eV/f.u.: 23.3
Uncorrected energy in eV/atom: -10.23
Calculated volume in Å³ per atom: 19.58
ΔE_f in kJ/mol of atoms: -33

```
data_Pu3CoGe2
_chemical_formula_sum 'Pu12 Co4 Ge8'
_cell_length_a 11.637
_cell_length_b 4.407
_cell_length_c 9.160
_cell_angle_alpha 90.00
_cell_angle_beta 90.00
_cell_angle_gamma 90.00
_space_group_name_H-M_alt 'P n m a'
_space_group_IT_number 62
_space_group_name_Hall '-P 2ac 2n'
loop_
_atom_site_label
_atom_site_type_symbol
_atom_site_fract_x
_atom_site_fract_y
_atom_site_fract_z
Pu1 Pu 0.050 0.250 0.116
Pu2 Pu 0.161 0.750 0.610
Pu3 Pu 0.242 0.250 0.762
Co1 Co 0.099 0.250 0.400
Ge1 Ge 0.009 0.750 0.343
Ge2 Ge 0.195 0.750 0.958
```

***

Entry 3:
# NdThNiAu

A relaxed NdThNiAu crystal (PBE-GGA, Alexandria via LeMat-Bulk).

Output
Polymorph energy (0 for the lowest one) in eV/atom: 0.0000
N(E_F) in states/eV/f.u.: 2.6
Uncorrected energy in eV/atom: -5.85
Calculated volume in Å³ per atom: 24.77
ΔE_f in kJ/mol of atoms: -52

```
data_NdThNiAu
_chemical_formula_sum 'Nd2 Th2 Ni2 Au2'
_cell_length_a 4.172
_cell_length_b 3.934
_cell_length_c 12.074
_cell_angle_alpha 90.00
_cell_angle_beta 90.00
_cell_angle_gamma 90.00
_space_group_name_H-M_alt 'A m m 2'
_space_group_IT_number 38
_space_group_name_Hall 'A 2 -2'
loop_
_atom_site_label
_atom_site_type_symbol
_atom_site_fract_x
_atom_site_fract_y
_atom_site_fract_z
Nd1 Nd 0.000 0.000 0.000
Th1 Th 0.500 0.000 0.278
Ni1 Ni 0.000 0.000 0.752
Au1 Au 0.500 0.000 0.581
```

***

Entry 4:
# VPdSCl2

A relaxed VPdSCl2 crystal (PBE-GGA, Alexandria via LeMat-Bulk).

Output
Formation energy (no corrections) in eV per atom: -0.1175
Polymorph energy (0 for the lowest one) in eV/atom: 0.0000
N(E_F) in states/eV/f.u.: 5.9
Uncorrected energy in eV/atom: -4.54
Calculated volume in Å³ per atom: 19.87

```
data_VPdSCl2
_chemical_formula_sum 'V1 Pd1 S1 Cl2'
_cell_length_a 4.663
_cell_length_b 4.663
_cell_length_c 4.570
_cell_angle_alpha 90.00
_cell_angle_beta 90.00
_cell_angle_gamma 90.00
_space_group_name_H-M_alt 'P 4/m m m'
_space_group_IT_number 123
_space_group_name_Hall '-P 4 2'
loop_
_atom_site_label
_atom_site_type_symbol
_atom_site_fract_x
_atom_site_fract_y
_atom_site_fract_z
V1 V 0.000 0.000 0.000
Pd1 Pd 0.500 0.500 0.500
S1 S 0.000 0.000 0.500
Cl1 Cl 0.000 0.500 0.000
```

***

Entry 5:
# RbAuC2

A relaxed RbAuC2 crystal (PBE-GGA, Alexandria via LeMat-Bulk).

Output
Polymorph energy (0 for the lowest one) in eV/atom: 0.0000
N(E_F) in states/eV/f.u.: 0.0
Uncorrected energy in eV/atom: -5.49
Calculated volume in Å³ per atom: 27.50
ΔE_f in kJ/mol of atoms: 17

```
data_RbAuC2
_chemical_formula_sum 'Rb1 Au1 C2'
_cell_length_a 4.581
_cell_length_b 4.581
_cell_length_c 5.242
_cell_angle_alpha 90.00
_cell_angle_beta 90.00
_cell_angle_gamma 90.00
_space_group_name_H-M_alt 'P 4/m m m'
_space_group_IT_number 123
_space_group_name_Hall '-P 4 2'
loop_
_atom_site_label
_atom_site_type_symbol
_atom_site_fract_x
_atom_site_fract_y
_atom_site_fract_z
Rb1 Rb 0.000 0.000 0.000
Au1 Au 0.500 0.500 0.500
C1 C 0.500 0.500 0.119
```

***

Entry 6:
# AcPr2Al6

A relaxed AcPr2Al6 crystal (PBE-GGA, Alexandria via LeMat-Bulk).

Output
Polymorph energy (0 for the lowest one) in eV/atom: 0.1963
N(E_F) in states/eV/f.u.: 3.9
Uncorrected energy in eV/atom: -4.24
Calculated volume in Å³ per atom: 26.37
ΔE_f in kJ/mol of atoms: -22

```
data_AcPr2Al6
_chemical_formula_sum 'Ac2 Pr4 Al12'
_cell_length_a 4.639
_cell_length_b 7.579
_cell_length_c 13.502
_cell_angle_alpha 90.00
_cell_angle_beta 90.00
_cell_angle_gamma 90.00
_space_group_name_H-M_alt 'I m m m'
_space_group_IT_number 71
_space_group_name_Hall '-I 2 2'
loop_
_atom_site_label
_atom_site_type_symbol
_atom_site_fract_x
_atom_site_fract_y
_atom_site_fract_z
Ac1 Ac 0.000 0.000 0.000
Pr1 Pr 0.000 0.500 0.125
Al1 Al 0.000 0.177 0.500
Al2 Al 0.000 0.303 0.316
```

***

Entry 7:
# La12BiIr6

A relaxed La12BiIr6 crystal (PBE-GGA, Alexandria via LeMat-Bulk).

Output
N(E_F) in states/eV/f.u.: 11.6
Uncorrected energy in eV/atom: -6.75
Calculated volume in Å³ per atom: 30.33
ΔE_f in kJ/mol of atoms: -61

```
data_La12BiIr6
_chemical_formula_sum 'La24 Bi2 Ir12'
_cell_length_a 10.485
_cell_length_b 10.485
_cell_length_c 10.485
_cell_angle_alpha 90.00
_cell_angle_beta 90.00
_cell_angle_gamma 90.00
_space_group_name_H-M_alt 'I m -3'
_space_group_IT_number 204
_space_group_name_Hall '-I 2 2 3'
loop_
_atom_site_label
_atom_site_type_symbol
_atom_site_fract_x
_atom_site_fract_y
_atom_site_fract_z
La1 La 0.000 0.182 0.313
Bi1 Bi 0.000 0.000 0.000
Ir1 Ir 0.000 0.364 0.500
```

***

Entry 8:
# Pm3Dy6Ho2Pu

A relaxed Pm3Dy6Ho2Pu crystal (PBE-GGA, Alexandria via LeMat-Bulk).

Output
N(E_F) in states/eV/f.u.: 23.5
Uncorrected energy in eV/atom: -5.40
Calculated volume in Å³ per atom: 31.62
ΔE_f in kJ/mol of atoms: 4

```
data_Pm3Dy6Ho2Pu
_chemical_formula_sum 'Pm6 Dy12 Ho4 Pu2'
_cell_length_a 6.157
_cell_length_b 10.670
_cell_length_c 11.733
_cell_angle_alpha 90.00
_cell_angle_beta 100.10
_cell_angle_gamma 90.00
_space_group_name_H-M_alt 'C 1 2/m 1'
_space_group_IT_number 12
_space_group_name_Hall '-C 2y'
loop_
_atom_site_label
_atom_site_type_symbol
_atom_site_fract_x
_atom_site_fract_y
_atom_site_fract_z
Pm1 Pm 0.000 0.000 0.000
Pm2 Pm 0.000 0.333 0.000
Dy1 Dy 0.246 0.335 0.745
Dy2 Dy 0.248 0.500 0.255
Ho1 Ho 0.000 0.167 0.500
Pu1 Pu 0.000 0.500 0.500
```

***

Entry 9:
# LiErTl6

A relaxed LiErTl6 crystal (PBE-GGA, Alexandria via LeMat-Bulk).

Output
Polymorph energy (0 for the lowest one) in eV/atom: 0.0025
N(E_F) in states/eV/f.u.: 3.6
Uncorrected energy in eV/atom: -2.69
Calculated volume in Å³ per atom: 26.81
ΔE_f in kJ/mol of atoms: -10

```
data_LiErTl6
_chemical_formula_sum 'Li1 Er1 Tl6'
_cell_length_a 4.759
_cell_length_b 4.759
_cell_length_c 9.468
_cell_angle_alpha 90.00
_cell_angle_beta 90.00
_cell_angle_gamma 90.00
_space_group_name_H-M_alt 'P 4/m m m'
_space_group_IT_number 123
_space_group_name_Hall '-P 4 2'
loop_
_atom_site_label
_atom_site_type_symbol
_atom_site_fract_x
_atom_site_fract_y
_atom_site_fract_z
Li1 Li 0.000 0.000 0.000
Er1 Er 0.000 0.000 0.500
Tl1 Tl 0.000 0.500 0.246
Tl2 Tl 0.500 0.500 0.000
Tl3 Tl 0.500 0.500 0.500
```

***

Entry 10:
# SrLaB

A relaxed SrLaB crystal (PBE-GGA, Alexandria via LeMat-Bulk).

Output
Polymorph energy (0 for the lowest one) in eV/atom: 0.6591
N(E_F) in states/eV/f.u.: 3.3
Uncorrected energy in eV/atom: -3.75
Calculated volume in Å³ per atom: 36.39
ΔE_f in kJ/mol of atoms: 66

```
data_SrLaB
_chemical_formula_sum 'Sr2 La2 B2'
_cell_length_a 5.0271
_cell_length_b 5.0271
_cell_length_c 9.9770
_cell_angle_alpha 90.00
_cell_angle_beta 90.00
_cell_angle_gamma 120.00
_space_group_name_H-M_alt 'P 63/m m c'
_space_group_IT_number 194
_space_group_name_Hall '-P 6c 2c'
loop_
_atom_site_label
_atom_site_type_symbol
_atom_site_fract_x
_atom_site_fract_y
_atom_site_fract_z
Sr1 Sr 0.3333 0.6667 0.2500
La1 La 0.0000 0.0000 0.0000
B1 B 0.0000 0.0000 0.2500
```

***

Entry 11:
# Li5SbAs

A relaxed Li5SbAs crystal (PBE-GGA, Alexandria via LeMat-Bulk).

Output
Formation energy (no corrections) in eV per atom: -0.5494
N(E_F) in states/eV/f.u.: 2.8
Uncorrected energy in eV/atom: -3.17
Calculated volume in Å³ per atom: 17.92

```
data_Li5SbAs
_chemical_formula_sum 'Li5 Sb1 As1'
_cell_length_a 4.291
_cell_length_b 4.291
_cell_length_c 6.811
_cell_angle_alpha 90.00
_cell_angle_beta 90.00
_cell_angle_gamma 90.00
_space_group_name_H-M_alt 'P 4/m m m'
_space_group_IT_number 123
_space_group_name_Hall '-P 4 2'
loop_
_atom_site_label
_atom_site_type_symbol
_atom_site_fract_x
_atom_site_fract_y
_atom_site_fract_z
Li1 Li 0.000 0.000 0.000
Li2 Li 0.000 0.500 0.248
Sb1 Sb 0.000 0.000 0.500
As1 As 0.500 0.500 0.000
```

***

Entry 12:
# Mg3ReNi

A relaxed Mg3ReNi crystal (PBE-GGA, Alexandria via LeMat-Bulk).

Output
Polymorph energy (0 for the lowest one) in eV/atom: 0.0000
N(E_F) in states/eV/f.u.: 2.0
Uncorrected energy in eV/atom: -3.66
Calculated volume in Å³ per atom: 19.57
ΔE_f in kJ/mol of atoms: 91

```
data_Mg3ReNi
_chemical_formula_sum 'Mg3 Re1 Ni1'
_cell_length_a 4.608
_cell_length_b 4.608
_cell_length_c 4.608
_cell_angle_alpha 90.00
_cell_angle_beta 90.00
_cell_angle_gamma 90.00
_space_group_name_H-M_alt 'P m -3 m'
_space_group_IT_number 221
_space_group_name_Hall '-P 4 2 3'
loop_
_atom_site_label
_atom_site_type_symbol
_atom_site_fract_x
_atom_site_fract_y
_atom_site_fract_z
Mg1 Mg 0.000 0.000 0.500
Re1 Re 0.500 0.500 0.500
Ni1 Ni 0.000 0.000 0.000
```

***

Entry 13:
# Ca2TlIn

A relaxed Ca2TlIn crystal (PBE-GGA, Alexandria via LeMat-Bulk).

Output
N(E_F) in states/eV/f.u.: 2.4
Uncorrected energy in eV/atom: -2.62
Calculated volume in Å³ per atom: 30.04
ΔE_f in kJ/mol of atoms: -33

```
data_Ca2TlIn
_chemical_formula_sum 'Ca4 Tl2 In2'
_cell_length_a 3.941
_cell_length_b 5.373
_cell_length_c 11.350
_cell_angle_alpha 90.00
_cell_angle_beta 90.00
_cell_angle_gamma 90.00
_space_group_name_H-M_alt 'I m m 2'
_space_group_IT_number 44
_space_group_name_Hall 'I 2 -2'
loop_
_atom_site_label
_atom_site_type_symbol
_atom_site_fract_x
_atom_site_fract_y
_atom_site_fract_z
Ca1 Ca 0.000 0.000 0.000
Ca2 Ca 0.000 0.500 0.218
Tl1 Tl 0.000 0.000 0.466
In1 In 0.000 0.500 0.754
```

***

Entry 14:
# Tl2MoAu

A relaxed Tl2MoAu crystal (PBE-GGA, Alexandria via LeMat-Bulk).

Output
Polymorph energy (0 for the lowest one) in eV/atom: 0.1517
N(E_F) in states/eV/f.u.: 2.4
Uncorrected energy in eV/atom: -4.12
Calculated volume in Å³ per atom: 21.10
ΔE_f in kJ/mol of atoms: 57

```
data_Tl2MoAu
_chemical_formula_sum 'Tl4 Mo2 Au2'
_cell_length_a 3.145
_cell_length_b 5.492
_cell_length_c 9.773
_cell_angle_alpha 90.00
_cell_angle_beta 90.00
_cell_angle_gamma 90.00
_space_group_name_H-M_alt 'C m m m'
_space_group_IT_number 65
_space_group_name_Hall '-C 2 2'
loop_
_atom_site_label
_atom_site_type_symbol
_atom_site_fract_x
_atom_site_fract_y
_atom_site_fract_z
Tl1 Tl 0.000 0.000 0.246
Mo1 Mo 0.000 0.500 0.000
Au1 Au 0.000 0.500 0.500
```

***

Entry 15:
# Zr3SbCl

A relaxed Zr3SbCl crystal (PBE-GGA, Alexandria via LeMat-Bulk).

Output
Formation energy (no corrections) in eV per atom: -0.1444
Polymorph energy (0 for the lowest one) in eV/atom: 0.0000
N(E_F) in states/eV/f.u.: 8.5
Uncorrected energy in eV/atom: -6.47
Calculated volume in Å³ per atom: 22.18

```
data_Zr3SbCl
_chemical_formula_sum 'Zr3 Sb1 Cl1'
_cell_length_a 4.804
_cell_length_b 4.804
_cell_length_c 4.804
_cell_angle_alpha 90.00
_cell_angle_beta 90.00
_cell_angle_gamma 90.00
_space_group_name_H-M_alt 'P m -3 m'
_space_group_IT_number 221
_space_group_name_Hall '-P 4 2 3'
loop_
_atom_site_label
_atom_site_type_symbol
_atom_site_fract_x
_atom_site_fract_y
_atom_site_fract_z
Zr1 Zr 0.000 0.000 0.500
Sb1 Sb 0.500 0.500 0.500
Cl1 Cl 0.000 0.000 0.000
```

***

Entry 16:
# Ce3Pb

A relaxed Ce3Pb crystal (PBE-GGA, Alexandria via LeMat-Bulk).

Output
N(E_F) in states/eV/f.u.: 11.5
Uncorrected energy in eV/atom: -5.56
Calculated volume in Å³ per atom: 27.77
ΔE_f in kJ/mol of atoms: -18

```
data_Ce3Pb
_chemical_formula_sum 'Ce3 Pb1'
_cell_length_a 3.386
_cell_length_b 5.560
_cell_length_c 5.901
_cell_angle_alpha 90.00
_cell_angle_beta 90.00
_cell_angle_gamma 90.00
_space_group_name_H-M_alt 'P m m 2'
_space_group_IT_number 25
_space_group_name_Hall 'P 2 -2'
loop_
_atom_site_label
_atom_site_type_symbol
_atom_site_fract_x
_atom_site_fract_y
_atom_site_fract_z
Ce1 Ce 0.000 0.000 0.000
Ce2 Ce 0.000 0.500 0.391
Ce3 Ce 0.500 0.000 0.527
Pb1 Pb 0.500 0.500 0.879
```